Material: ReGe2W
Method: DFT, PBE
State: optimized geometry

Results
ρ, Mg/m³: 12.67
Crystal system: tetragonal
Density of states at the Fermi level, states/eV per cell: 8.5
Total energy, eV for the cell shown: -61.6
Size of the total moment, μB/f.u.: 0.00
Relative energy among the computed polymorphs, meV/atom: 589

POSCAR file:
```
ReGe2W
1.0
-3.539 3.539 2.697
3.539 -3.539 2.697
3.539 3.539 -2.697
Re Ge W
2 4 2
Direct
0.000 0.000 0.000
0.750 0.250 0.500
0.115 0.625 0.990
0.375 0.365 0.490
0.635 0.125 0.010
0.875 0.885 0.510
0.250 0.750 0.500
0.500 0.500 0.000
```

=====

Material: ReGe3W
Method: DFT, PBE
State: optimized geometry

Results
ρ, Mg/m³: 8.73
Crystal system: cubic
Density of states at the Fermi level, states/eV per cell: 2.9
Total energy, eV for the cell shown: -32.4
Size of the total moment, μB/f.u.: 4.84
Relative energy among the computed polymorphs, meV/atom: 0

POSCAR file:
```
ReGe3W
1.0
4.818 0.000 0.000
0.000 4.818 0.000
0.000 0.000 4.818
Re Ge W
1 3 1
Direct
0.000 0.000 0.000
0.000 0.000 0.500
0.000 0.500 0.000
0.500 0.000 0.000
0.500 0.500 0.500
```

=====

Material: Y3ReGe
Method: DFT, PBE
State: optimized geometry

Results
ρ, Mg/m³: 5.78
Crystal system: cubic
Density of states at the Fermi level, states/eV per cell: 1.0
Total energy, eV for the cell shown: -34.9
Size of the total moment, μB/f.u.: 0.00
Relative energy among the computed polymorphs, meV/atom: 0

POSCAR file:
```
Y3ReGe
1.0
5.324 0.000 0.000
0.000 5.324 0.000
0.000 0.000 5.324
Y Re Ge
3 1 1
Direct
0.000 0.000 0.500
0.000 0.500 0.000
0.500 0.000 0.000
0.000 0.000 0.000
0.500 0.500 0.500
```

=====

Material: YRe2Ge
Method: DFT, PBE
State: optimized geometry

Results
ρ, Mg/m³: 10.67
Crystal system: tetragonal
Density of states at the Fermi level, states/eV per cell: 13.3
Total energy, eV for the cell shown: -68.8
Size of the total moment, μB/f.u.: 0.00

POSCAR file:
```
YRe2Ge
1.0
-2.105 2.105 9.374
2.105 -2.105 9.374
2.105 2.105 -9.374
Y Re Ge
2 4 2
Direct
0.000 0.000 0.000
0.750 0.250 0.500
0.228 0.625 0.103
0.375 0.478 0.603
0.522 0.125 0.897
0.875 0.772 0.397
0.250 0.750 0.500
0.500 0.500 0.000
```

=====

Material: YReGe2
Method: DFT, PBE
State: optimized geometry

Results
ρ, Mg/m³: 7.52
Crystal system: tetragonal
Density of states at the Fermi level, states/eV per cell: 5.3
Total energy, eV for the cell shown: -55.2
Size of the total moment, μB/f.u.: 0.00
Relative energy among the computed polymorphs, meV/atom: 271

POSCAR file:
```
YReGe2
1.0
-2.362 2.362 8.316
2.362 -2.362 8.316
2.362 2.362 -8.316
Y Re Ge
2 2 4
Direct
0.000 0.000 0.000
0.750 0.250 0.500
0.250 0.750 0.500
0.500 0.500 0.000
0.275 0.625 0.150
0.375 0.525 0.650
0.475 0.125 0.850
0.875 0.725 0.350
```

=====

Material: YReGe2
Method: DFT, PBE
State: optimized geometry

Results
ρ, Mg/m³: 9.86
Crystal system: cubic
Density of states at the Fermi level, states/eV per cell: 1.4
Total energy, eV for the cell shown: -28.7
Size of the total moment, μB/f.u.: 0.00
Relative energy among the computed polymorphs, meV/atom: 0

POSCAR file:
```
YReGe2
1.0
0.000 3.283 3.283
3.283 0.000 3.283
3.283 3.283 0.000
Y Re Ge
1 1 2
Direct
0.000 0.000 0.000
0.500 0.500 0.500
0.250 0.250 0.250
0.750 0.750 0.750
```

=====

Material: Zn3ReGe
Method: DFT, PBE
State: optimized geometry

Results
ρ, Mg/m³: 7.48
Crystal system: cubic
Density of states at the Fermi level, states/eV per cell: 1.3
Total energy, eV for the cell shown: -14.1
Size of the total moment, μB/f.u.: 3.17
Relative energy among the computed polymorphs, meV/atom: 345

POSCAR file:
```
Zn3ReGe
1.0
4.657 0.000 0.000
0.000 4.657 0.000
0.000 0.000 4.657
Zn Re Ge
3 1 1
Direct
0.000 0.000 0.500
0.000 0.500 0.000
0.500 0.000 0.000
0.500 0.500 0.500
0.000 0.000 0.000
```

=====

Material: ZnRe2Ge2
Method: DFT, PBE
State: optimized geometry

Results
ρ, Mg/m³: 12.39
Crystal system: tetragonal
Density of states at the Fermi level, states/eV per cell: 8.1
Total energy, eV for the cell shown: -68.4
Size of the total moment, μB/f.u.: 0.00
Relative energy among the computed polymorphs, meV/atom: 0

POSCAR file:
```
ZnRe2Ge2
1.0
6.978 0.000 0.000
0.000 6.978 0.000
0.000 0.000 3.209
Zn Re Ge
2 4 4
Direct
0.000 0.000 0.000
0.500 0.500 0.000
0.146 0.354 0.000
0.354 0.854 0.000
0.646 0.146 0.000
0.854 0.646 0.000
0.151 0.651 0.500
0.349 0.151 0.500
0.651 0.849 0.500
0.849 0.349 0.500
```

=====

Material: Zn3ReGe
Method: DFT, PBE
State: optimized geometry

Results
ρ, Mg/m³: 6.74
Crystal system: cubic
Density of states at the Fermi level, states/eV per cell: 2.8
Total energy, eV for the cell shown: -15.8
Size of the total moment, μB/f.u.: 0.00
Relative energy among the computed polymorphs, meV/atom: 0

POSCAR file:
```
Zn3ReGe
1.0
4.822 0.000 0.000
0.000 4.822 0.000
0.000 0.000 4.822
Zn Re Ge
3 1 1
Direct
0.000 0.000 0.500
0.000 0.500 0.000
0.500 0.000 0.000
0.000 0.000 0.000
0.500 0.500 0.500
```

=====

Material: ZnReGe2
Method: DFT, PBE
State: optimized geometry

Results
ρ, Mg/m³: 9.41
Crystal system: trigonal
Density of states at the Fermi level, states/eV per cell: 3.2
Total energy, eV for the cell shown: -22.2
Size of the total moment, μB/f.u.: 0.00

POSCAR file:
```
ZnReGe2
1.0
1.528 0.882 8.656
-1.528 0.882 8.656
0.000 -1.765 8.656
Zn Re Ge
1 1 2
Direct
0.000 0.000 0.000
0.500 0.500 0.500
0.095 0.095 0.095
0.905 0.905 0.905
```

=====

Material: ZnRe2Ge2
Method: DFT, PBE
State: optimized geometry

Results
ρ, Mg/m³: 12.09
Crystal system: tetragonal
Density of states at the Fermi level, states/eV per cell: 4.6
Total energy, eV for the cell shown: -33.1
Size of the total moment, μB/f.u.: 0.00
Relative energy among the computed polymorphs, meV/atom: 210

POSCAR file:
```
ZnRe2Ge2
1.0
-1.767 1.767 6.416
1.767 -1.767 6.416
1.767 1.767 -6.416
Zn Re Ge
1 2 2
Direct
0.000 0.000 0.000
0.398 0.398 0.000
0.602 0.602 0.000
0.250 0.750 0.500
0.750 0.250 0.500
```

=====

Material: ZnReGe2
Method: DFT, PBE
State: optimized geometry

Results
ρ, Mg/m³: 7.02
Crystal system: tetragonal
Density of states at the Fermi level, states/eV per cell: 5.1
Total energy, eV for the cell shown: -39.7
Size of the total moment, μB/f.u.: 0.00

POSCAR file:
```
ZnReGe2
1.0
-2.882 2.882 5.653
2.882 -2.882 5.653
2.882 2.882 -5.653
Zn Re Ge
2 2 4
Direct
0.000 0.000 0.000
0.750 0.250 0.500
0.250 0.750 0.500
0.500 0.500 0.000
0.149 0.625 0.024
0.375 0.399 0.524
0.601 0.125 0.976
0.875 0.851 0.476
```